A geometry-optimized SrTi2CoCl structure. Source: the Alexandria database, functional PBE.

Cell lengths 4.6615, 4.6615, 4.4332 Å; angles 90.00, 90.00, 90.00 degrees
Atoms (fractional coordinates):
1 Sr 0.0000 0.0000 0.0000
2 Ti 0.0000 0.5000 0.5000
3 Ti 0.5000 0.0000 0.5000
4 Co 0.5000 0.5000 0.0000
5 Cl 0.5000 0.5000 0.5000

Output
V ... 19.27 Å³ per atom
Space-group type ... P4/mmm (123)
VASP energy ... -4.88 eV/atom
Density of states at the Fermi level ... 1.3101 states/eV/atom
Formation energy (no corrections) ... 0.40 eV per atom
Theoretical density ... 4.788 Mg/m³